# 1
A relaxed structure of BeCr2Ag. Source: Alexandria, functional PBEsol.

Geometry as POSCAR:
```
BeCr2Ag
1.0
-1.5429 1.7904 4.2137
1.5429 -1.7904 4.2137
1.5429 1.7904 -4.2137
Be Cr Ag
1 2 1
Direct
0.0000 0.0000 0.0000
0.2443 0.7443 0.5000
0.7557 0.2557 0.5000
0.5000 0.5000 0.0000
```

Properties
The crystal system is orthorhombic. Its raw total energy is -6.59 eV per atom. As for the symmetry: Immm.

---

# 2
A relaxed structure of GaMo3Pd. Source: Alexandria, functional PBEsol.

Geometry as POSCAR:
```
GaMo3Pd
1.0
4.6517 0.0000 0.0000
0.0000 4.6517 0.0000
0.0000 0.0000 4.6517
Ga Mo Pd
1 3 1
Direct
0.0000 0.0000 0.0000
0.0000 0.5000 0.5000
0.5000 0.0000 0.5000
0.5000 0.5000 0.0000
0.5000 0.5000 0.5000
```

Properties
The crystal system is cubic. Its raw total energy is -6.98 eV per atom. As for the symmetry: Pm-3m.

---

# 3
A relaxed structure of BaMn2In. Source: Alexandria, functional PBEsol.

Geometry as POSCAR:
```
BaMn2In
1.0
3.6043 0.0000 0.0000
0.0000 3.6043 0.0000
0.0000 0.0000 6.9777
Ba Mn In
1 2 1
Direct
0.0000 0.0000 0.0000
0.5000 0.5000 0.3566
0.5000 0.5000 0.6434
0.0000 0.0000 0.5000
```

Properties
The crystal system is tetragonal. Its raw total energy is -5.47 eV per atom. As for the symmetry: P4/mmm.

---

# 4
A relaxed structure of Na2HgRh. Source: Alexandria, functional PBEsol.

Geometry as POSCAR:
```
Na2HgRh
1.0
0.0000 3.3479 3.3479
3.3479 0.0000 3.3479
3.3479 3.3479 0.0000
Na Hg Rh
2 1 1
Direct
0.2500 0.2500 0.2500
0.7500 0.7500 0.7500
0.0000 0.0000 0.0000
0.5000 0.5000 0.5000
```

Properties
The crystal system is cubic. Its raw total energy is -2.53 eV per atom. As for the symmetry: Fm-3m.

---

# 5
A relaxed structure of CuOsRh2. Source: Alexandria, functional PBEsol.

Geometry as POSCAR:
```
CuOsRh2
1.0
2.6968 0.0000 0.0000
0.0000 2.6968 0.0000
0.0000 0.0000 7.2304
Cu Os Rh
1 1 2
Direct
0.0000 0.0000 0.0000
0.0000 0.0000 0.5000
0.5000 0.5000 0.2470
0.5000 0.5000 0.7530
```

Properties
The crystal system is tetragonal. For the energy above the most stable polymorph in this dataset, the calculation gives 0 meV per atom. As for the symmetry: P4/mmm.

---

# 6
A relaxed structure of Y2GaBiRu. Source: Alexandria, functional PBEsol.

Geometry as POSCAR:
```
Y2GaBiRu
1.0
5.2758 0.0000 0.0000
0.0000 5.2758 0.0000
0.0000 0.0000 5.0406
Y Ga Bi Ru
2 1 1 1
Direct
0.0000 0.5000 0.0000
0.5000 0.0000 0.0000
0.0000 0.0000 0.0000
0.0000 0.0000 0.5000
0.5000 0.5000 0.5000
```

Properties
The crystal system is tetragonal. Its raw total energy is -5.48 eV per atom. As for the symmetry: P4/mmm.

---

no.,spin magnetization (μB/f.u.),D(E_F) (states/eV per atom)
1,0.00,0.698
2,0.00,1.303
3,3.90,1.543
4,0.00,0.484
5,0.00,0.825
6,1.32,0.852